(1)
Density functional theory data (PBE) for KNbSe3 after structural relaxation.

Values from the calculation:
Raw formation energy = 7.73 eV per formula unit
Final energy = -2.778 eV/atom
Relative energy among the computed polymorphs = 2439 meV per atom
Density = 4.12 g/cm3
Calculated volume = 149 Å³ per cell

a = 5.2961 Å, b = 5.2961 Å, c = 5.2961 Å
α = 90.00°, β = 90.00°, γ = 90.00°
Last column: nearest neighbours and their distance in Å.
Sites, in units of the cell vectors:
K  0.0000  0.0000  0.0000  6 Se 2.65
Nb  0.5000  0.5000  0.5000  12 Se 3.74
Se  0.0000  0.0000  0.5000  2 K 2.65
Se  0.0000  0.5000  0.0000  2 K 2.65
Se  0.5000  0.0000  0.0000  2 K 2.65

(2)
Density functional theory data (PBE) for KNb2Se2 after structural relaxation.

Values from the calculation:
Raw formation energy = -1.67 eV per formula unit
Final energy = -5.976 eV/atom
Relative energy among the computed polymorphs = 445 meV per atom
Density = 5.53 g/cm3
Calculated volume = 115 Å³ per cell

a = 5.6753 Å, b = 5.6753 Å, c = 5.6753 Å
α = 126.23°, β = 126.23°, γ = 79.51°
Last column: nearest neighbours and their distance in Å.
Sites, in units of the cell vectors:
K  0.0000  0.0000  0.0000  2 Nb 3.20, 8 Se 3.37
Nb  0.3668  0.3668  0.0000  1 Nb 2.32
Nb  0.6332  0.6332  0.0000  1 Nb 2.32
Se  0.2500  0.7500  0.5000  4 Nb 2.76
Se  0.7500  0.2500  0.5000  4 Nb 2.76

(3)
Density functional theory data (PBE) for K3NbSe after structural relaxation.

Values from the calculation:
Raw formation energy = 2.44 eV per formula unit
Final energy = -2.881 eV/atom
Relative energy among the computed polymorphs = 0 meV per atom
Density = 1.95 g/cm3
Calculated volume = 246 Å³ per cell

a = 6.2700 Å, b = 6.2700 Å, c = 6.2700 Å
α = 90.00°, β = 90.00°, γ = 90.00°
Last column: nearest neighbours and their distance in Å.
Sites, in units of the cell vectors:
K  0.0000  0.0000  0.5000  2 Se 3.14
K  0.0000  0.5000  0.0000  2 Se 3.14
K  0.5000  0.0000  0.0000  2 Se 3.14
Nb  0.5000  0.5000  0.5000  12 K 4.43
Se  0.0000  0.0000  0.0000  6 K 3.14

(4)
Density functional theory data (PBE) for KNbSe2 after structural relaxation.

Values from the calculation:
Raw formation energy = -2.74 eV per formula unit
Final energy = -5.220 eV/atom
Density = 4.19 g/cm3
Calculated volume = 115 Å³ per cell

a = 7.5676 Å, b = 7.5676 Å, c = 7.5676 Å
α = 148.98°, β = 148.98°, γ = 44.45°
Last column: nearest neighbours and their distance in Å.
Sites, in units of the cell vectors:
K  0.0000  0.0000  0.0000  8 Se 3.50
Nb  0.2500  0.7500  0.5000  4 Se 2.51
Se  0.3564  0.3564  0.0000  2 Nb 2.51
Se  0.6436  0.6436  0.0000  2 Nb 2.51

(5)
Density functional theory data (PBE) for K3NbSe4 after structural relaxation.

Values from the calculation:
Raw formation energy = -9.07 eV per formula unit
Final energy = -4.546 eV/atom
Density = 3.21 g/cm3
Calculated volume = 1089 Å³ per cell

a = 9.7640 Å, b = 11.2653 Å, c = 9.9043 Å
α = 90.00°, β = 90.00°, γ = 90.00°
Last column: nearest neighbours and their distance in Å.
Sites, in units of the cell vectors:
K  0.0588  0.0475  0.2082  7 Se 3.36-3.74
K  0.0588  0.4525  0.2082  7 Se 3.36-3.74
K  0.1279  0.7500  0.4176  5 Se 3.28-3.54
K  0.3721  0.2500  0.9176  5 Se 3.28-3.54
K  0.4412  0.5475  0.7082  7 Se 3.36-3.74
K  0.4412  0.9525  0.7082  7 Se 3.36-3.74
K  0.5588  0.0475  0.2918  7 Se 3.36-3.74
K  0.5588  0.4525  0.2918  7 Se 3.36-3.74
K  0.6279  0.7500  0.0824  5 Se 3.28-3.54
K  0.8721  0.2500  0.5824  5 Se 3.28-3.54
K  0.9412  0.5475  0.7918  7 Se 3.36-3.74
K  0.9412  0.9525  0.7918  7 Se 3.36-3.74
Nb  0.2132  0.7500  0.9864  4 Se 2.42-2.43
Nb  0.2868  0.2500  0.4864  4 Se 2.42-2.43
Nb  0.7132  0.7500  0.5136  4 Se 2.42-2.43
Nb  0.7868  0.2500  0.0136  4 Se 2.42-2.43
Se  0.0130  0.2500  0.9122  1 Nb 2.43
Se  0.1645  0.0725  0.5520  1 Nb 2.42
Se  0.1645  0.4275  0.5520  1 Nb 2.42
Se  0.1892  0.7500  0.7430  1 Nb 2.42
Se  0.3108  0.2500  0.2430  1 Nb 2.42
Se  0.3355  0.5725  0.0520  1 Nb 2.42
Se  0.3355  0.9275  0.0520  1 Nb 2.42
Se  0.4870  0.7500  0.4122  1 Nb 2.43
Se  0.5130  0.2500  0.5878  1 Nb 2.43
Se  0.6645  0.0725  0.9480  1 Nb 2.42
Se  0.6645  0.4275  0.9480  1 Nb 2.42
Se  0.6892  0.7500  0.7570  1 Nb 2.42
Se  0.8108  0.2500  0.2570  1 Nb 2.42
Se  0.8355  0.5725  0.4480  1 Nb 2.42
Se  0.8355  0.9275  0.4480  1 Nb 2.42
Se  0.9870  0.7500  0.0878  1 Nb 2.43

(6)
Density functional theory data (PBE) for KNbSe3 after structural relaxation.

Values from the calculation:
Raw formation energy = -3.83 eV per formula unit
Final energy = -5.089 eV/atom
Relative energy among the computed polymorphs = 127 meV per atom
Density = 4.52 g/cm3
Calculated volume = 135 Å³ per cell

a = 5.1352 Å, b = 5.1352 Å, c = 5.1352 Å
α = 90.00°, β = 90.00°, γ = 90.00°
Last column: nearest neighbours and their distance in Å.
Sites, in units of the cell vectors:
K  0.0000  0.0000  0.0000  12 Se 3.63
Nb  0.5000  0.5000  0.5000  6 Se 2.57
Se  0.0000  0.5000  0.5000  2 Nb 2.57
Se  0.5000  0.0000  0.5000  2 Nb 2.57
Se  0.5000  0.5000  0.0000  2 Nb 2.57

(7)
Density functional theory data (PBE) for KNbSe3 after structural relaxation.

Values from the calculation:
Raw formation energy = -4.46 eV per formula unit
Final energy = -5.217 eV/atom
Relative energy among the computed polymorphs = 0 meV per atom
Density = 4.31 g/cm3
Calculated volume = 284 Å³ per cell

a = 7.3486 Å, b = 7.3486 Å, c = 6.0730 Å
α = 91.35°, β = 91.35°, γ = 60.01°
Last column: nearest neighbours and their distance in Å.
Sites, in units of the cell vectors:
K  0.1662  0.1662  0.2502  12 Se 3.61-3.80
K  0.8338  0.8338  0.7498  12 Se 3.61-3.80
Nb  0.5000  0.5000  0.0000  6 Se 2.61
Nb  0.5000  0.5000  0.5000  6 Se 2.61
Se  0.1659  0.6668  0.2454  2 Nb 2.61
Se  0.3329  0.3329  0.7410  2 Nb 2.61
Se  0.3332  0.8341  0.7546  2 Nb 2.61
Se  0.6668  0.1659  0.2454  2 Nb 2.61
Se  0.6671  0.6671  0.2590  2 Nb 2.61
Se  0.8341  0.3332  0.7546  2 Nb 2.61

(8)
Density functional theory data (PBE) for K2NbSe4 after structural relaxation.

Values from the calculation:
Raw formation energy = -6.30 eV per formula unit
Final energy = -4.643 eV/atom
Relative energy among the computed polymorphs = 0 meV per atom
Density = 3.11 g/cm3
Calculated volume = 520 Å³ per cell

a = 7.2013 Å, b = 6.1462 Å, c = 11.8869 Å
α = 90.00°, β = 98.95°, γ = 90.00°
Last column: nearest neighbours and their distance in Å.
Sites, in units of the cell vectors:
K  0.2320  0.2500  0.4555  7 Se 3.43-3.52
K  0.2351  0.2500  0.9178  6 Se 3.38-3.58
K  0.7649  0.7500  0.0822  6 Se 3.38-3.58
K  0.7680  0.7500  0.5445  7 Se 3.43-3.52
Nb  0.3232  0.7500  0.2386  4 Se 2.40-2.44
Nb  0.6768  0.2500  0.7614  4 Se 2.40-2.44
Se  0.0647  0.7500  0.3449  1 Nb 2.41
Se  0.2293  0.7500  0.0361  1 Nb 2.40
Se  0.4366  0.5243  0.7000  1 Nb 2.44
Se  0.4366  0.9757  0.7000  1 Nb 2.44
Se  0.5634  0.0243  0.3000  1 Nb 2.44
Se  0.5634  0.4757  0.3000  1 Nb 2.44
Se  0.7707  0.2500  0.9639  1 Nb 2.40
Se  0.9353  0.2500  0.6551  1 Nb 2.41

(9)
Density functional theory data (PBE) for KNbSe2 after structural relaxation.

Values from the calculation:
Raw formation energy = -4.00 eV per formula unit
Final energy = -5.534 eV/atom
Density = 5.13 g/cm3
Calculated volume = 188 Å³ per cell

a = 3.6370 Å, b = 3.6370 Å, c = 16.3684 Å
α = 90.00°, β = 90.00°, γ = 120.00°
Last column: nearest neighbours and their distance in Å.
Sites, in units of the cell vectors:
K  0.0000  0.0000  0.0000  6 Se 3.24
K  0.0000  0.0000  0.5000  6 Se 3.24
Nb  0.0000  0.0000  0.2500  6 Se 2.66
Nb  0.0000  0.0000  0.7500  6 Se 2.66
Se  0.3333  0.6667  0.1504  3 Nb 2.66
Se  0.3333  0.6667  0.3496  3 Nb 2.66
Se  0.6667  0.3333  0.6504  3 Nb 2.66
Se  0.6667  0.3333  0.8496  3 Nb 2.66

(10)
Density functional theory data (PBE) for KNbSe4 after structural relaxation.

Values from the calculation:
Raw formation energy = -4.10 eV per formula unit
Final energy = -4.867 eV/atom
Relative energy among the computed polymorphs = 0 meV per atom
Density = 4.38 g/cm3
Calculated volume = 339 Å³ per cell

a = 8.2486 Å, b = 8.2486 Å, c = 6.4779 Å
α = 100.96°, β = 100.96°, γ = 122.96°
Last column: nearest neighbours and their distance in Å.
Sites, in units of the cell vectors:
K  0.1466  0.8534  0.7500  4 Se 3.14-3.50
K  0.8534  0.1466  0.2500  4 Se 3.14-3.50
Nb  0.4997  0.5003  0.2500  8 Se 2.65-2.76
Nb  0.5003  0.4997  0.7500  8 Se 2.65-2.76
Se  0.1556  0.3006  0.8667  1 Se 2.63, 2 Nb 2.75-2.76
Se  0.2931  0.5758  0.4689  1 Se 2.63, 2 Nb 2.65
Se  0.3006  0.1556  0.3667  1 Se 2.63, 2 Nb 2.75-2.76
Se  0.4242  0.7069  0.0311  1 Se 2.63, 2 Nb 2.65
Se  0.5758  0.2931  0.9689  1 Se 2.63, 2 Nb 2.65
Se  0.6994  0.8444  0.6333  1 Se 2.63, 2 Nb 2.75-2.76
Se  0.7069  0.4242  0.5311  1 Se 2.63, 2 Nb 2.65
Se  0.8444  0.6994  0.1333  1 Se 2.63, 2 Nb 2.75-2.76

(11)
Density functional theory data (PBE) for KNb2Se2 after structural relaxation.

Values from the calculation:
Raw formation energy = -3.90 eV per formula unit
Final energy = -6.421 eV/atom
Relative energy among the computed polymorphs = 0 meV per atom
Density = 5.29 g/cm3
Calculated volume = 120 Å³ per cell

a = 8.1367 Å, b = 8.1367 Å, c = 8.1367 Å
α = 151.79°, β = 151.79°, γ = 40.33°
Last column: nearest neighbours and their distance in Å.
Sites, in units of the cell vectors:
K  0.0000  0.0000  0.0000  8 Se 3.44
Nb  0.2500  0.7500  0.5000  4 Se 2.69, 4 Nb 2.80
Nb  0.7500  0.2500  0.5000  4 Se 2.69, 4 Nb 2.80
Se  0.3692  0.3692  0.0000  4 Nb 2.69
Se  0.6308  0.6308  0.0000  4 Nb 2.69

(12)
Density functional theory data (PBE) for K2NbSe after structural relaxation.

Values from the calculation:
Raw formation energy = 0.68 eV per formula unit
Final energy = -3.767 eV/atom
Density = 2.15 g/cm3
Calculated volume = 387 Å³ per cell

a = 9.1179 Å, b = 9.1179 Å, c = 9.1179 Å
α = 94.38°, β = 94.38°, γ = 147.92°
Last column: nearest neighbours and their distance in Å.
Sites, in units of the cell vectors:
K  0.3750  0.2065  0.3315  2 Se 3.32
K  0.7935  0.1250  0.1685  2 Se 3.32
K  0.8750  0.0435  0.6685  2 Se 3.32
K  0.9565  0.6250  0.8315  2 Se 3.32
Nb  0.2500  0.7500  0.5000  2 Se 2.52
Nb  0.5000  0.5000  0.0000  2 Se 2.52
Se  0.0000  0.0000  0.0000  2 Nb 2.52
Se  0.7500  0.2500  0.5000  2 Nb 2.52

Q: Among the records above, which one has the lowest density?
A: K3NbSe

Q: Which formula does entry 2 have?
A: KNb2Se2